Entry 1:
A plane-wave DFT calculation with PBE was carried out for a geometry-optimized Nd2Sm4TmMg structure.

Properties
Its symmetry is P4/mmm (123). For the total energy, the calculation gives -34.3 eV/f.u.

```
Nd2Sm4TmMg
1.0
5.0412 0.0000 0.0000
0.0000 5.0412 0.0000
0.0000 0.0000 10.1693
Nd Sm Tm Mg
2 4 1 1
Cartesian
0.0000 0.0000 0.0000
2.5206 2.5206 5.0847
0.0000 2.5206 2.5314
0.0000 2.5206 7.6379
2.5206 0.0000 2.5314
2.5206 0.0000 7.6379
0.0000 0.0000 5.0847
2.5206 2.5206 0.0000
```

***

Entry 2:
A plane-wave DFT calculation with PBE was carried out for a geometry-optimized CoBiPd2Pt structure.

Properties
Its symmetry is P4/mmm (123). For the total energy, the calculation gives -24.9 eV/f.u.

```
CoBiPd2Pt
1.0
4.6331 0.0000 0.0000
0.0000 4.6331 0.0000
0.0000 0.0000 4.6632
Co Bi Pd Pt
1 1 2 1
Cartesian
0.0000 0.0000 0.0000
2.3166 2.3166 2.3316
0.0000 2.3166 0.0000
2.3166 0.0000 0.0000
0.0000 0.0000 2.3316
```

***

Entry 3:
A plane-wave DFT calculation with PBE was carried out for a geometry-optimized EuMgSb2 structure.

Properties
For the formation energy from raw total energies, the calculation gives -508 meV per atom. Its symmetry is R-3m (166). For the total energy, the calculation gives -22.1 eV/f.u.

```
EuMgSb2
1.0
4.9273 0.0000 0.0000
-2.4637 4.2672 0.0000
0.0000 0.0000 16.1137
Eu Mg Sb
3 3 6
Cartesian
0.0000 0.0000 0.0000
0.0000 2.8448 10.7425
2.4637 1.4224 5.3712
0.0000 0.0000 8.0569
0.0000 2.8448 2.6856
2.4637 1.4224 13.4281
0.0000 0.0000 3.8258
0.0000 0.0000 12.2880
0.0000 2.8448 6.9167
0.0000 2.8448 14.5683
2.4637 1.4224 1.5455
2.4637 1.4224 9.1970
```

***

Entry 4:
A plane-wave DFT calculation with PBE was carried out for a geometry-optimized Sr3UCu2Se6 structure.

Properties
For the formation energy from raw total energies, the calculation gives -1064 meV per atom. Its symmetry is P-3m1 (164). For the total energy, the calculation gives -58.2 eV/f.u.

```
Sr3UCu2Se6
1.0
7.6466 0.0000 0.0000
-3.8233 6.6222 0.0000
0.0000 0.0000 7.8102
Sr U Cu Se
3 1 2 6
Cartesian
0.0000 0.0000 0.0000
0.0000 4.4148 4.5738
3.8233 2.2074 3.2364
0.0000 0.0000 3.9051
0.0000 4.4148 1.4709
3.8233 2.2074 6.3393
0.0000 2.2023 2.2071
-1.9160 5.5210 2.2071
1.9073 1.1012 5.6031
1.9160 5.5210 2.2071
5.7394 1.1012 5.6031
3.8233 4.4198 5.6031
```

***

Entry 5:
A plane-wave DFT calculation with PBE was carried out for a geometry-optimized La7SmY2 structure.

Properties
Its energy above the most stable polymorph in this dataset is 0 meV/atom. Its symmetry is Cmmm (65). For the total energy, the calculation gives -50.7 eV/f.u.

```
La7SmY2
1.0
3.4187 -14.7936 0.0000
3.4187 14.7936 0.0000
0.0000 0.0000 3.5300
La Sm Y
7 1 2
Cartesian
0.0000 0.0000 0.0000
1.7634 2.9700 0.0000
3.4187 5.6693 1.7650
1.7634 -2.9700 0.0000
5.0741 2.9700 0.0000
3.4187 -5.6693 1.7650
5.0741 -2.9700 0.0000
3.4187 0.0000 1.7650
3.4187 8.7391 0.0000
3.4187 -8.7391 0.0000
```

***

Entry 6:
A plane-wave DFT calculation with PBE was carried out for a geometry-optimized LiCrSb structure.

Properties
Its energy above the most stable polymorph in this dataset is 219 meV/atom. For the formation energy from raw total energies, the calculation gives 129 meV per atom. Its symmetry is R-3m (166). For the total energy, the calculation gives -15.3 eV/f.u.

```
LiCrSb
1.0
1.9870 1.1472 8.2891
-1.9870 1.1472 8.2891
0.0000 -2.2944 8.2891
Li Cr Sb
2 2 2
Cartesian
0.0000 0.0000 3.3372
0.0000 0.0000 21.5300
0.0000 0.0000 8.8534
0.0000 0.0000 16.0139
0.0000 0.0000 6.2832
0.0000 0.0000 18.5840
```

***

Across the entries above, magnetic moment takes the values 0.00 2.93 6.87 2.00 0.00 0.00 μB per formula unit, respectively.